1.
Entry from the Alexandria database: TiCr after structural relaxation (PBE).

Computed properties:
Calculated total energy: -97.69 eV/cell
Formation energy from the elements: 0.618 eV/atom

Geometry as CIF:
```
data_TiCr
_chemical_formula_sum 'Ti6 Cr6'
_cell_length_a 8.7348
_cell_length_b 8.7348
_cell_length_c 2.8794
_cell_angle_alpha 90.00
_cell_angle_beta 90.00
_cell_angle_gamma 120.00
_space_group_name_H-M_alt 'P 63/m'
_space_group_IT_number 176
_space_group_name_Hall '-P 6c'
loop_
_atom_site_label
_atom_site_type_symbol
_atom_site_fract_x
_atom_site_fract_y
_atom_site_fract_z
Ti1 Ti 0.1025 0.3157 0.2500
Cr1 Cr 0.1175 0.5899 0.2500
```

2.
Entry from the Alexandria database: TbHo6Tm2Th3 after structural relaxation (PBE).

Computed properties:
Calculated total energy: -126.01 eV/cell
Formation energy from the elements: 0.025 eV/atom

Geometry as CIF:
```
data_TbHo6Tm2Th3
_chemical_formula_sum 'Tb2 Ho12 Tm4 Th6'
_cell_length_a 6.146
_cell_length_b 10.639
_cell_length_c 11.666
_cell_angle_alpha 90.00
_cell_angle_beta 100.12
_cell_angle_gamma 90.00
_space_group_name_H-M_alt 'C 1 2/m 1'
_space_group_IT_number 12
loop_
_space_group_symop_operation_xyz
'x,y,z'
'-x,-y,-z'
'-x,y,-z'
'x,-y,z'
'x+1/2,y+1/2,z'
'-x+1/2,-y+1/2,-z'
'-x+1/2,y+1/2,-z'
'x+1/2,-y+1/2,z'
loop_
_atom_site_label
_atom_site_type_symbol
_atom_site_fract_x
_atom_site_fract_y
_atom_site_fract_z
Tb1 Tb 0.000 0.000 0.000
Ho1 Ho 0.249 0.000 0.747
Ho2 Ho 0.249 0.333 0.747
Tm1 Tm 0.000 0.333 0.000
Th1 Th 0.000 0.166 0.500
Th2 Th 0.000 0.500 0.500
```